! KLiSc2 PBE optimized geometry; values from VASP
&SYSTEM
  ibrav = 0, nat = 4, ntyp = 3
/
ATOMIC_SPECIES
Sc 44.96 Sc.upf
K 39.10 K.upf
Li 6.94 Li.upf
CELL_PARAMETERS angstrom
-4.871 -0.403 -2.408
-4.339 2.448 2.205
-2.204 4.348 -2.434
ATOMIC_POSITIONS crystal
Sc 0.250 0.250 0.250
Sc 0.750 0.750 0.750
K 0.500 0.500 0.500
Li 0.000 0.000 0.000
! Density of states at the Fermi level = 1.463 states/eV per atom
! Polymorph energy (0 for the lowest one) = 468 meV per atom
! Magnetization = 1.9 μB per formula unit
! Formation enthalpy at 0 K = 0.747 eV per atom


! KLiSc2 PBE optimized geometry; values from VASP
&SYSTEM
  ibrav = 0, nat = 4, ntyp = 3
/
ATOMIC_SPECIES
K 39.10 K.upf
Li 6.94 Li.upf
Sc 44.96 Sc.upf
CELL_PARAMETERS angstrom
-1.943 0.145 3.976
-3.225 -2.649 -1.480
3.181 -4.840 1.731
ATOMIC_POSITIONS crystal
K 0.500 0.000 0.500
Li 0.000 0.500 0.500
Sc 0.000 0.000 0.000
Sc 0.500 0.500 0.000
! Density of states at the Fermi level = 1.335 states/eV per atom
! Polymorph energy (0 for the lowest one) = 300 meV per atom
! Magnetization = 0.8 μB per formula unit
! Formation enthalpy at 0 K = 0.578 eV per atom


! K3LiSc PBE optimized geometry; values from VASP
&SYSTEM
  ibrav = 0, nat = 5, ntyp = 3
/
ATOMIC_SPECIES
Sc 44.96 Sc.upf
K 39.10 K.upf
Li 6.94 Li.upf
CELL_PARAMETERS angstrom
-1.932 0.792 -6.202
0.318 -6.471 -0.925
-6.245 -0.574 1.872
ATOMIC_POSITIONS crystal
Sc 0.500 0.500 0.500
K 0.000 0.500 0.000
K 0.000 0.000 0.500
K 0.500 0.000 0.000
Li 0.000 0.000 0.000
! Density of states at the Fermi level = 1.738 states/eV per atom
! Polymorph energy (0 for the lowest one) = 0 meV per atom
! Magnetization = 1.4 μB per formula unit
! Formation enthalpy at 0 K = 0.735 eV per atom


! KLiSc2Se4 PBE optimized geometry; values from VASP
&SYSTEM
  ibrav = 0, nat = 16, ntyp = 4
/
ATOMIC_SPECIES
K 39.10 K.upf
Li 6.94 Li.upf
Sc 44.96 Sc.upf
Se 78.96 Se.upf
CELL_PARAMETERS angstrom
-1.419 -2.565 -2.743
-3.388 -1.392 5.992
-9.982 9.257 -3.493
ATOMIC_POSITIONS crystal
K 0.112 0.224 0.750
K 0.888 0.776 0.250
Li 0.831 0.663 0.750
Li 0.169 0.337 0.250
Sc 0.367 0.734 0.563
Sc 0.633 0.266 0.063
Sc 0.633 0.266 0.437
Sc 0.367 0.734 0.937
Se 0.263 0.527 0.103
Se 0.737 0.473 0.603
Se 0.737 0.473 0.897
Se 0.263 0.527 0.397
Se 0.000 0.000 0.500
Se 0.000 0.000 0.000
Se 0.430 0.860 0.750
Se 0.570 0.140 0.250
! Magnetization = 0.0 μB per formula unit
! E_form (uncorrected) = -12.4 eV per formula unit


! KLi2Sc3Te6 PBE optimized geometry; values from VASP
&SYSTEM
  ibrav = 0, nat = 12, ntyp = 4
/
ATOMIC_SPECIES
K 39.10 K.upf
Li 6.94 Li.upf
Sc 44.96 Sc.upf
Te 127.60 Te.upf
CELL_PARAMETERS angstrom
-2.770 2.003 -2.489
4.533 -2.670 -7.192
-5.287 -7.767 3.226
ATOMIC_POSITIONS crystal
K 0.500 0.000 0.000
Li 0.824 0.654 0.647
Li 0.176 0.346 0.353
Sc 0.500 0.500 0.000
Sc 0.833 0.170 0.667
Sc 0.167 0.830 0.333
Te 0.323 0.926 0.646
Te 0.663 0.589 0.325
Te 0.677 0.074 0.354
Te 0.993 0.275 0.986
Te 0.007 0.725 0.014
Te 0.337 0.411 0.675
! Magnetization = 0.0 μB per formula unit
! E_form (uncorrected) = -14.0 eV per formula unit


! K2LiScZn PBE optimized geometry; values from VASP
&SYSTEM
  ibrav = 0, nat = 5, ntyp = 4
/
ATOMIC_SPECIES
Sc 44.96 Sc.upf
Zn 65.41 Zn.upf
K 39.10 K.upf
Li 6.94 Li.upf
CELL_PARAMETERS angstrom
6.215 0.000 0.000
0.000 5.653 0.000
0.000 0.000 6.215
ATOMIC_POSITIONS crystal
Sc 0.000 0.500 0.000
Zn 0.500 0.500 0.500
K 0.000 0.000 0.500
K 0.500 0.000 0.000
Li 0.000 0.000 0.000
! Density of states at the Fermi level = 1.656 states/eV per atom
! Magnetization = 1.4 μB per formula unit
! Formation enthalpy at 0 K = 0.746 eV per atom


! K2Li2Se PBE optimized geometry; values from VASP
&SYSTEM
  ibrav = 0, nat = 10, ntyp = 3
/
ATOMIC_SPECIES
K 39.10 K.upf
Se 78.96 Se.upf
Li 6.94 Li.upf
CELL_PARAMETERS angstrom
-1.227 -6.756 -2.388
7.165 -1.151 -0.428
0.015 -1.916 5.411
ATOMIC_POSITIONS crystal
K 0.199 0.699 0.500
K 0.699 0.801 0.500
K 0.801 0.301 0.500
K 0.301 0.199 0.500
Se 0.000 0.000 0.000
Se 0.500 0.500 0.000
Li 0.344 0.844 0.000
Li 0.844 0.656 0.000
Li 0.656 0.156 0.000
Li 0.156 0.344 0.000
! Density of states at the Fermi level = 0.000 states/eV per atom
! Magnetization = 0.0 μB per formula unit
! E_form (uncorrected) = -2.2 eV per formula unit


! KLiSe3 PBE optimized geometry; values from VASP
&SYSTEM
  ibrav = 0, nat = 5, ntyp = 3
/
ATOMIC_SPECIES
K 39.10 K.upf
Se 78.96 Se.upf
Li 6.94 Li.upf
CELL_PARAMETERS angstrom
4.942 0.000 0.000
0.000 4.942 0.000
0.000 0.000 4.942
ATOMIC_POSITIONS crystal
K 0.500 0.500 0.500
Se 0.000 0.500 0.000
Se 0.000 0.000 0.500
Se 0.500 0.000 0.000
Li 0.000 0.000 0.000
! Density of states at the Fermi level = 1.045 states/eV per atom
! Polymorph energy (0 for the lowest one) = 0 meV per atom
! Magnetization = 0.0 μB per formula unit
! E_form (uncorrected) = -1.5 eV per formula unit


! KLi2Se PBE optimized geometry; values from VASP
&SYSTEM
  ibrav = 0, nat = 8, ntyp = 3
/
ATOMIC_SPECIES
K 39.10 K.upf
Se 78.96 Se.upf
Li 6.94 Li.upf
CELL_PARAMETERS angstrom
7.782 0.000 0.000
0.000 7.782 0.000
3.891 3.891 5.603
ATOMIC_POSITIONS crystal
K 0.500 0.500 0.000
K 0.250 0.750 0.500
Se 0.000 0.000 0.000
Se 0.750 0.250 0.500
Li 0.874 0.125 0.250
Li 0.876 0.625 0.250
Li 0.375 0.126 0.750
Li 0.875 0.124 0.750
! Density of states at the Fermi level = 0.155 states/eV per atom
! Magnetization = 0.0 μB per formula unit
! E_form (uncorrected) = -2.6 eV per formula unit


! KLi2Se PBE optimized geometry; values from VASP
&SYSTEM
  ibrav = 0, nat = 4, ntyp = 3
/
ATOMIC_SPECIES
K 39.10 K.upf
Li 6.94 Li.upf
Se 78.96 Se.upf
CELL_PARAMETERS angstrom
8.261 0.007 0.004
6.396 5.229 -0.004
-7.219 -2.922 2.754
ATOMIC_POSITIONS crystal
K 0.334 0.834 0.500
Li 0.014 0.014 0.000
Li 0.632 0.132 0.500
Se 0.519 0.519 0.000
! Density of states at the Fermi level = 0.304 states/eV per atom
! Magnetization = 0.0 μB per formula unit
! E_form (uncorrected) = -2.6 eV per formula unit


! KLiSe3 PBE optimized geometry; values from VASP
&SYSTEM
  ibrav = 0, nat = 5, ntyp = 3
/
ATOMIC_SPECIES
K 39.10 K.upf
Se 78.96 Se.upf
Li 6.94 Li.upf
CELL_PARAMETERS angstrom
5.975 0.000 0.000
0.000 5.975 0.000
0.000 0.000 5.975
ATOMIC_POSITIONS crystal
K 0.000 0.000 0.000
Se 0.000 0.500 0.000
Se 0.000 0.000 0.500
Se 0.500 0.000 0.000
Li 0.500 0.500 0.500
! Density of states at the Fermi level = 1.540 states/eV per atom
! Polymorph energy (0 for the lowest one) = 772 meV per atom
! Magnetization = 4.0 μB per formula unit
! E_form (uncorrected) = 2.4 eV per formula unit


! KLi2Se PBE optimized geometry; values from VASP
&SYSTEM
  ibrav = 0, nat = 4, ntyp = 3
/
ATOMIC_SPECIES
K 39.10 K.upf
Li 6.94 Li.upf
Se 78.96 Se.upf
CELL_PARAMETERS angstrom
3.735 0.000 0.000
0.000 3.735 0.000
0.000 0.000 7.589
ATOMIC_POSITIONS crystal
K 0.500 0.500 0.750
Li 0.000 0.000 0.101
Li 0.000 0.000 0.399
Se 0.500 0.500 0.250
! Density of states at the Fermi level = 0.288 states/eV per atom
! Magnetization = 0.0 μB per formula unit
! E_form (uncorrected) = -2.1 eV per formula unit


Q: Which value of magnetization does entry 11 give?
A: 4.0 μB per formula unit